VASP calculation (PBE) on a relaxed structure of Te2PIBr.

```
data_Te2PIBr
_chemical_formula_sum 'Te2 P1 I1 Br1'
_cell_length_a 5.739
_cell_length_b 5.739
_cell_length_c 5.789
_cell_angle_alpha 90.00
_cell_angle_beta 90.00
_cell_angle_gamma 90.00
_symmetry_space_group_name_H-M 'P 1'
_symmetry_Int_Tables_number 1
loop_
_symmetry_equiv_pos_as_xyz
'x,y,z'
loop_
_atom_site_label
_atom_site_type_symbol
_atom_site_fract_x
_atom_site_fract_y
_atom_site_fract_z
_atom_site_occupancy
Te1 Te 0.000 0.500 0.000 1
Te2 Te 0.500 0.000 0.000 1
P1 P 0.000 0.000 0.500 1
I1 I 0.500 0.500 0.500 1
Br1 Br 0.500 0.500 0.000 1
```

Results
raw total energy: -1.762 eV/atom
energy above the lowest structure with this stoichiometry: 774.1 meV per atom
uncorrected formation energy: 1.222 eV per atom
DOS at the Fermi energy: 1.136 states/eV/atom